<one>
5
Lattice="5.173 0.000 0.000 0.000 5.173 0.000 0.000 0.000 5.295" Properties=species:S:1:pos:R:3 comment="PBE-GGA ScAs2PbBr, optimized geometry" spacegroup="P4/mmm, No. 123" pbc="T T T"
Pb 2.587 2.587 2.648
Sc 0.000 0.000 0.000
As 0.000 2.587 0.000
As 2.587 0.000 0.000
Br 0.000 0.000 2.648

<two>
5
Lattice="-0.977 -5.166 1.061 1.328 0.804 5.134 -5.232 1.228 1.161" Properties=species:S:1:pos:R:3 comment="PBE-GGA ScAs2PbBr, optimized geometry" spacegroup="P4/mmm, No. 123" pbc="T T T"
Pb 0.000 0.000 0.000
Sc -2.441 -1.567 3.679
As 0.664 0.402 2.567
As -0.489 -2.583 0.531
Br -2.616 0.614 0.581

Stability, descending: <one>, <two>

<one>
5
Lattice="-3.405 3.847 -0.303 -0.500 -0.841 -5.053 -3.838 -3.324 0.933" Properties=species:S:1:pos:R:3 comment="PBE-GGA TaAsPbBr2, optimized geometry" spacegroup="P4/mmm, No. 123" pbc="T T T"
Pb -3.872 -0.159 -2.212
As -1.919 -1.662 0.466
Br -0.250 -0.420 -2.526
Br -1.703 1.924 -0.152
Ta 0.000 0.000 0.000

<two>
5
Lattice="-2.040 2.300 4.625 -4.679 1.282 -2.702 -2.223 -4.970 1.491" Properties=species:S:1:pos:R:3 comment="PBE-GGA TaAsPbBr2, optimized geometry" spacegroup="P4/mmm, No. 123" pbc="T T T"
Pb 0.000 0.000 0.000
As -1.112 -2.485 0.746
Br -2.340 0.641 -1.351
Br -1.020 1.150 2.312
Ta -4.471 -0.694 1.707

Stability, descending: <one>, <two>

<one>
5
Lattice="-1.750 -4.489 0.304 4.374 -1.774 -1.012 1.225 -0.106 5.478" Properties=species:S:1:pos:R:3 comment="PBE-GGA ZnAs2PbBr, optimized geometry" spacegroup="P4/mmm, No. 123" pbc="T T T"
Pb 1.925 -3.184 2.385
As 2.187 -0.887 -0.506
As -0.875 -2.245 0.152
Zn 0.000 0.000 0.000
Br 0.612 -0.053 2.739

<two>
5
Lattice="5.618 0.000 0.000 0.000 5.618 0.000 0.000 0.000 5.811" Properties=species:S:1:pos:R:3 comment="PBE-GGA ZnAs2PbBr, optimized geometry" spacegroup="P4/mmm, No. 123" pbc="T T T"
Pb 0.000 0.000 0.000
As 0.000 2.809 0.000
As 2.809 0.000 0.000
Zn 2.809 2.809 2.906
Br 0.000 0.000 2.906

Stability, descending: <one>, <two>

<one>
5
Lattice="5.269 0.000 0.000 0.000 5.269 0.000 0.000 0.000 5.396" Properties=species:S:1:pos:R:3 comment="PBE-GGA ZrAsPbBr2, optimized geometry" spacegroup="P4/mmm, No. 123" pbc="T T T"
Pb 2.634 2.634 2.698
As 0.000 0.000 2.698
Br 0.000 2.634 0.000
Br 2.634 0.000 0.000
Zr 0.000 0.000 0.000

<two>
5
Lattice="-0.815 0.529 5.467 -4.106 -3.731 -0.251 3.696 -4.131 0.951" Properties=species:S:1:pos:R:3 comment="PBE-GGA ZrAsPbBr2, optimized geometry" spacegroup="P4/mmm, No. 123" pbc="T T T"
Pb 0.000 0.000 0.000
As 1.848 -2.065 0.475
Br -2.053 -1.865 -0.125
Br -0.407 0.265 2.734
Zr -0.612 -3.666 3.084

Stability, descending: <one>, <two>